(1)
# SrHf2Co

An optimized crystal structure of SrHf2Co (GGA-PBE, the Alexandria database).

abc: 5.804 5.804 15.347
angles: 90.00 90.00 90.00
Sites, in units of the cell vectors:
Sr (0.000, 0.250, 0.375)
Sr (0.000, 0.750, 0.625)
Sr (0.500, 0.250, 0.125)
Sr (0.500, 0.750, 0.875)
Hf (0.000, 0.000, 0.000)
Hf (0.000, 0.500, 0.000)
Hf (0.250, 0.250, 0.750)
Hf (0.250, 0.750, 0.250)
Hf (0.500, 0.000, 0.500)
Hf (0.500, 0.500, 0.500)
Hf (0.750, 0.250, 0.750)
Hf (0.750, 0.750, 0.250)
Co (0.000, 0.250, 0.875)
Co (0.000, 0.750, 0.125)
Co (0.500, 0.250, 0.625)
Co (0.500, 0.750, 0.375)

Computed properties:
Energy of formation from the pure elements = 0.90 eV per atom

---

(2)
# Dy3HoTl2

An optimized crystal structure of Dy3HoTl2 (GGA-PBE, the Alexandria database).

abc: 4.902 4.474 8.144
angles: 90.00 107.45 90.00
Sites, in units of the cell vectors:
Dy (0.000, 0.000, 0.000)
Dy (0.327, 0.000, 0.654)
Dy (0.673, 0.000, 0.346)
Ho (0.500, 0.500, 0.000)
Tl (0.152, 0.500, 0.304)
Tl (0.848, 0.500, 0.696)

Computed properties:
Energy of formation from the pure elements = -0.20 eV per atom

---

(3)
# CaTmZr

An optimized crystal structure of CaTmZr (GGA-PBE, the Alexandria database).

abc: 3.431 5.343 9.897
angles: 90.00 90.07 90.00
Sites, in units of the cell vectors:
Ca (0.248, 0.250, 0.111)
Ca (0.752, 0.750, 0.889)
Tm (0.251, 0.250, 0.726)
Tm (0.749, 0.750, 0.274)
Zr (0.250, 0.750, 0.548)
Zr (0.750, 0.250, 0.452)

Computed properties:
Energy of formation from the pure elements = 0.12 eV per atom

---

(4)
# La6Tc2HgBr3

An optimized crystal structure of La6Tc2HgBr3 (GGA-PBE, the Alexandria database).

abc: 10.318 10.318 9.517
angles: 107.67 107.67 23.48
Sites, in units of the cell vectors:
La (0.030, 0.030, 0.264)
La (0.320, 0.320, 0.440)
La (0.335, 0.335, 0.870)
La (0.665, 0.665, 0.130)
La (0.680, 0.680, 0.560)
La (0.970, 0.970, 0.736)
Tc (0.157, 0.157, 0.334)
Tc (0.843, 0.843, 0.666)
Hg (0.500, 0.500, 0.000)
Br (0.171, 0.171, 0.837)
Br (0.500, 0.500, 0.500)
Br (0.829, 0.829, 0.163)

Computed properties:
Raw formation energy = -0.747 eV/atom

---

(5)
# TlGaH2Os

An optimized crystal structure of TlGaH2Os (GGA-PBE, the Alexandria database).

abc: 3.778 3.778 5.213
angles: 90.00 90.00 90.00
Sites, in units of the cell vectors:
Tl (0.000, 0.000, 0.000)
Ga (0.500, 0.500, 0.500)
H (0.000, 0.500, 0.500)
H (0.500, 0.000, 0.500)
Os (0.500, 0.500, 0.000)

Computed properties:
Energy = -19.16 eV for the cell shown

---

(6)
# LaZr2F

An optimized crystal structure of LaZr2F (GGA-PBE, the Alexandria database).

abc: 6.845 6.845 8.991
angles: 90.00 90.00 90.00
Sites, in units of the cell vectors:
La (0.000, 0.000, 0.000)
La (0.000, 0.500, 0.250)
La (0.500, 0.000, 0.750)
La (0.500, 0.500, 0.500)
Zr (0.082, 0.250, 0.625)
Zr (0.250, 0.582, 0.875)
Zr (0.250, 0.918, 0.375)
Zr (0.418, 0.250, 0.125)
Zr (0.582, 0.750, 0.125)
Zr (0.750, 0.082, 0.375)
Zr (0.750, 0.418, 0.875)
Zr (0.918, 0.750, 0.625)
F (0.000, 0.000, 0.500)
F (0.000, 0.500, 0.750)
F (0.500, 0.000, 0.250)
F (0.500, 0.500, 0.000)

Computed properties:
Raw formation energy = -0.520 eV/atom

---

(7)
# AcZnGa2

An optimized crystal structure of AcZnGa2 (GGA-PBE, the Alexandria database).

abc: 3.642 3.642 7.024
angles: 90.00 90.00 90.00
Sites, in units of the cell vectors:
Ac (0.000, 0.000, 0.000)
Zn (0.000, 0.000, 0.500)
Ga (0.500, 0.500, 0.312)
Ga (0.500, 0.500, 0.688)

Computed properties:
Energy of formation from the pure elements = -0.21 eV per atom

---

(8)
# Mo5Pt

An optimized crystal structure of Mo5Pt (GGA-PBE, the Alexandria database).

abc: 10.592 2.662 6.973
angles: 90.00 104.39 90.00
Sites, in units of the cell vectors:
Mo (0.000, 0.000, 0.000)
Mo (0.060, 0.000, 0.639)
Mo (0.168, 0.500, 0.335)
Mo (0.325, 0.000, 0.675)
Mo (0.400, 0.000, 0.295)
Mo (0.500, 0.500, 0.000)
Mo (0.560, 0.500, 0.639)
Mo (0.668, 0.000, 0.335)
Mo (0.825, 0.500, 0.675)
Mo (0.900, 0.500, 0.295)
Pt (0.227, 0.500, 0.963)
Pt (0.727, 0.000, 0.963)

Computed properties:
Energy of formation from the pure elements = 0.09 eV per atom

---

What did the eighth record say?
# Mo5Pt

An optimized crystal structure of Mo5Pt (GGA-PBE, the Alexandria database).

abc: 10.592 2.662 6.973
angles: 90.00 104.39 90.00
Sites, in units of the cell vectors:
Mo (0.000, 0.000, 0.000)
Mo (0.060, 0.000, 0.639)
Mo (0.168, 0.500, 0.335)
Mo (0.325, 0.000, 0.675)
Mo (0.400, 0.000, 0.295)
Mo (0.500, 0.500, 0.000)
Mo (0.560, 0.500, 0.639)
Mo (0.668, 0.000, 0.335)
Mo (0.825, 0.500, 0.675)
Mo (0.900, 0.500, 0.295)
Pt (0.227, 0.500, 0.963)
Pt (0.727, 0.000, 0.963)

Computed properties:
Energy of formation from the pure elements = 0.09 eV per atom